1.
This record from Alexandria describes a geometry-optimized Li2ScAgCl6 structure. The functional is PBE.

Output
Symmetry = No. 146
Total DFT energy (no corrections) = -4.05 eV per atom
Fermi-level density of states = 0.000 states/eV/cell

a = 6.5155 Å, b = 6.5183 Å, c = 7.0750 Å
α = 62.52°, β = 62.57°, γ = 59.99°
Atoms (fractional coordinates):
1 Li 0.5188 0.5184 0.4444
2 Li 0.0066 0.0064 0.9802
3 Sc 0.3253 0.3254 0.0238
4 Ag 0.8080 0.8084 0.5758
5 Cl 0.5867 0.2427 0.2394
6 Cl 0.2428 0.9311 0.2394
7 Cl 0.9312 0.5864 0.2391
8 Cl 0.3860 0.7281 0.7576
9 Cl 0.7278 0.1285 0.7578
10 Cl 0.1284 0.3861 0.7575


2.
This record from Alexandria describes a geometry-optimized LiSmAg2Cl6 structure. The functional is PBE.

Output
Symmetry = No. 146
Total DFT energy (no corrections) = -3.77 eV per atom
Fermi-level density of states = 0.000 states/eV/cell

a = 6.8223 Å, b = 6.8250 Å, c = 7.3386 Å
α = 89.99°, β = 117.71°, γ = 119.99°
Atoms (fractional coordinates):
1 Li 0.9866 0.9928 0.9651
2 Sm 0.9841 0.4916 0.4617
3 Ag 0.5775 0.7883 0.3520
4 Ag 0.5855 0.2920 0.8636
5 Cl 0.4932 0.8842 0.6976
6 Cl 0.4740 0.0995 0.1892
7 Cl 0.8285 0.7286 0.1887
8 Cl 0.1034 0.3739 0.1886
9 Cl 0.8285 0.6081 0.6985
10 Cl 0.1043 0.2187 0.6976


3.
This record from Alexandria describes a geometry-optimized Li2AgSnCl8 structure. The functional is PBE.

Output
Symmetry = No. 2
Total DFT energy (no corrections) = -3.17 eV per atom
Fermi-level density of states = 2.884 states/eV/cell

a = 6.4980 Å, b = 6.3896 Å, c = 7.7954 Å
α = 83.61°, β = 95.93°, γ = 103.18°
Atoms (fractional coordinates):
1 Li 0.5574 0.4409 0.7501
2 Li 0.4426 0.5591 0.2499
3 Ag 0.0000 0.0000 0.5000
4 Sn 0.0000 0.0000 0.0000
5 Cl 0.1653 0.7843 0.2330
6 Cl 0.6735 0.7110 0.9914
7 Cl 0.8529 0.1694 0.2194
8 Cl 0.8347 0.2157 0.7670
9 Cl 0.3265 0.2890 0.0086
10 Cl 0.1471 0.8306 0.7806
11 Cl 0.6827 0.6940 0.4990
12 Cl 0.3173 0.3060 0.5010


4.
This record from Alexandria describes a geometry-optimized Li3Ag2SnCl8 structure. The functional is PBE.

Output
Symmetry = No. 160
Total DFT energy (no corrections) = -3.28 eV per atom
Fermi-level density of states = 2.592 states/eV/cell

a = 8.0445 Å, b = 8.0445 Å, c = 7.5874 Å
α = 57.99°, β = 57.99°, γ = 60.00°
Atoms (fractional coordinates):
1 Li 0.4630 0.0370 0.0370
2 Li 0.0370 0.4630 0.0370
3 Li 0.4630 0.4630 0.0370
4 Ag 0.0926 0.0926 0.7222
5 Ag 0.4940 0.4940 0.5179
6 Sn 0.9285 0.9285 0.2145
7 Cl 0.2391 0.2391 0.2826
8 Cl 0.7937 0.7937 0.6189
9 Cl 0.2502 0.2502 0.7995
10 Cl 0.7001 0.2502 0.7995
11 Cl 0.2502 0.7001 0.7995
12 Cl 0.7381 0.3051 0.2188
13 Cl 0.3051 0.7381 0.2188
14 Cl 0.7381 0.7381 0.2188


5.
This record from Alexandria describes a geometry-optimized LiAg2SnCl6 structure. The functional is PBE.

Output
Symmetry = No. 15
Total DFT energy (no corrections) = -3.11 eV per atom
Fermi-level density of states = 7.002 states/eV/cell

a = 7.1255 Å, b = 9.4830 Å, c = 9.4830 Å
α = 78.51°, β = 68.63°, γ = 68.63°
Atoms (fractional coordinates):
1 Li 0.2500 0.2314 0.7686
2 Li 0.7500 0.7686 0.2314
3 Ag 0.4443 0.6500 0.5691
4 Ag 0.0557 0.4309 0.3500
5 Ag 0.5557 0.3500 0.4309
6 Ag 0.9443 0.5691 0.6500
7 Sn 0.2500 0.8978 0.1022
8 Sn 0.7500 0.1022 0.8978
9 Cl 0.1780 0.9662 0.8231
10 Cl 0.3220 0.1769 0.0338
11 Cl 0.8220 0.0338 0.1769
12 Cl 0.6780 0.8231 0.9662
13 Cl 0.3206 0.8654 0.3534
14 Cl 0.1794 0.6466 0.1346
15 Cl 0.6794 0.1346 0.6466
16 Cl 0.8206 0.3534 0.8654
17 Cl 0.2383 0.5029 0.7584
18 Cl 0.2617 0.2416 0.4971
19 Cl 0.7617 0.4971 0.2416
20 Cl 0.7383 0.7584 0.5029


6.
This record from Alexandria describes a geometry-optimized LiAgSnCl2 structure. The functional is PBE.

Output
Symmetry = No. 123
Total DFT energy (no corrections) = -2.95 eV per atom
Fermi-level density of states = 0.009 states/eV/cell

a = 5.5746 Å, b = 5.3182 Å, c = 5.5746 Å
α = 90.00°, β = 90.00°, γ = 90.00°
Atoms (fractional coordinates):
1 Li 0.5000 0.5000 0.5000
2 Sn 0.0000 0.0000 0.0000
3 Ag 0.0000 0.5000 0.0000
4 Cl 0.0000 0.0000 0.5000
5 Cl 0.5000 0.0000 0.0000